Sr2BiSe4, relaxed, DFT GGA-PBE; distance to the lowest polymorph of the same formula = 94.9 meV per atom; space-group type = I-42d, No. 122; ρ = 5.95 g cm⁻³; uncorrected formation energy = -109.9 kJ/mol of atoms
1.0
-2.6899 -6.2804 -4.1224
3.0907 -2.3068 6.9856
-6.2256 4.8638 1.1219
Se Sr Bi
8 4 2
Cartesian
-1.3880 0.1216 2.6711
0.4539 -5.5805 2.6814
0.1465 -0.9973 6.1802
-6.8071 -1.1706 -0.4459
-5.2619 -3.9761 1.0364
-2.6504 -3.1299 3.2085
-2.3386 -2.1489 -0.9724
-5.4536 1.9882 1.5814
0.4811 -2.4046 3.4759
-4.0770 -0.9646 1.2594
-2.9732 -0.7260 5.4073
-5.0804 -3.3516 -2.1722
-2.0285 -4.6477 0.6815
0.0000 0.0000 0.0000

***

Sr3Bi5Se12, relaxed, DFT GGA-PBE; space-group type = Ia-3d, No. 230; ρ = 5.57 g cm⁻³; uncorrected formation energy = -69.7 kJ/mol of atoms
1.0
15.1746 0.0000 0.0000
-5.0582 14.3067 0.0000
-5.0582 -7.1534 12.3900
Se Bi Sr
48 20 12
Cartesian
3.0642 5.3037 1.0429
2.6701 -2.3061 7.2754
11.1956 3.2316 3.5115
-5.1992 10.4297 4.5544
-1.9939 0.0216 10.2667
0.6851 8.8573 8.3183
-1.4499 5.0020 10.7494
1.9940 1.8497 11.3471
10.6515 7.1750 2.1233
9.9754 1.5709 0.5602
5.7433 6.2509 9.7065
1.9940 -1.8280 11.3096
9.4313 0.8015 5.6348
7.7283 12.7358 0.5602
3.6083 6.0732 5.1521
-6.1374 3.9217 8.8785
10.2574 -3.2763 7.8356
4.3731 -1.7040 4.0717
1.8440 5.4494 8.3183
-0.6851 0.9025 2.6835
5.5933 -1.8497 11.3471
-5.5933 -0.0216 10.2667
-2.6701 3.2763 7.8356
8.2724 -0.9025 2.6835
5.5933 1.8280 11.3096
-3.9790 12.1553 1.6406
9.0372 -5.0020 10.7494
6.5081 11.0751 3.5115
3.0642 8.9814 1.0804
-0.5352 9.0030 1.0429
-3.2142 8.0558 9.7065
4.9172 2.3061 7.2754
1.4499 1.0802 7.2379
0.1410 4.8473 5.1146
-4.9172 5.5824 11.8298
-0.5351 5.3254 1.0804
7.7283 3.8770 4.5544
-4.3731 6.3519 6.7552
-1.8440 -0.8015 5.6348
-1.4499 -3.9217 8.8785
3.2142 1.7040 4.0717
7.0521 7.1317 2.1233
-2.6701 -5.5824 11.8298
6.5081 2.1514 1.6406
2.3881 9.4595 5.1146
6.9022 7.9549 6.7552
6.1374 -1.0802 7.2379
-1.0792 8.2336 5.1521
6.3227 -4.4709 10.8412
5.0582 7.1534 0.0000
0.0000 0.0000 0.0000
2.5291 3.5767 6.1950
5.0582 -3.5767 6.1950
-1.2645 0.8942 7.7437
-1.2645 11.6242 1.5487
3.7936 2.6825 1.5487
-5.0582 3.5767 6.1950
7.5873 0.0000 0.0000
-3.7936 8.0475 4.6462
1.2645 4.4709 10.8412
6.3227 6.2592 4.6462
8.8518 -0.8942 7.7437
3.7936 10.7301 3.0975
-2.5291 -3.5767 6.1950
1.2645 -3.5767 9.2925
6.3227 3.5767 9.2925
-2.5291 7.1534 0.0000
-1.2645 3.5767 3.0975
1.2645 -0.8942 4.6462
8.8518 4.4709 1.5487
8.8518 9.8359 1.5487
11.3809 0.0000 3.0975
-6.3227 7.1534 9.2925
1.2645 7.1534 3.0975
-3.7936 2.6825 10.8412
3.7936 0.0000 9.2925
-1.2645 6.2592 7.7437
6.3227 0.8942 4.6462
3.7936 8.0475 7.7437
-3.7936 -2.6825 10.8412

***

Sr2Bi2Se, relaxed, DFT GGA-PBE; space-group type = P4/mbm, No. 127; ρ = 6.14 g cm⁻³; uncorrected formation energy = -83.5 kJ/mol of atoms
1.0
8.2995 0.0000 0.0000
0.0000 8.2995 0.0000
0.0000 0.0000 5.2780
Se Sr Bi
2 4 4
Cartesian
4.1498 4.1498 0.0000
0.0000 0.0000 0.0000
5.6273 1.4776 0.0000
2.6722 6.8220 0.0000
1.4776 2.6722 0.0000
6.8220 5.6273 0.0000
1.0300 5.1798 2.6390
3.1197 1.0300 2.6390
5.1798 7.2695 2.6390
7.2695 3.1197 2.6390